[1]
Below is AcThNi2Ge2 after structural relaxation, with properties calculated at the PBE-GGA level.

## Properties
Uncorrected energy (eV per atom): -6.10
Energy of formation (eV per formula unit): -4.3
D(E_F) (states/eV/cell): 5.8

Structure (extended XYZ):
```
6
Lattice="4.226 0.000 0.000 -2.113 3.660 0.000 0.000 0.000 8.405" Properties=species:S:1:pos:R:3 pbc="T T T"
Ac 0.000 0.000 0.000
Th 0.000 0.000 4.202
Ni 0.000 2.440 2.296
Ni 2.113 1.220 6.109
Ge 0.000 2.440 6.170
Ge 2.113 1.220 2.235
```

[2]
Below is AcTmNiGe after structural relaxation, with properties calculated at the PBE-GGA level.

## Properties
Uncorrected energy (eV per atom): -5.12
Energy of formation (eV per formula unit): -1.5
D(E_F) (states/eV/cell): 1.6

Structure (extended XYZ):
```
4
Lattice="0.000 3.640 3.640 3.640 0.000 3.640 3.640 3.640 0.000" Properties=species:S:1:pos:R:3 pbc="T T T"
Ac 0.000 0.000 0.000
Tm 3.640 3.640 3.640
Ni 5.460 5.460 5.460
Ge 1.820 1.820 1.820
```

[3]
Below is AcTmNi2Ge2 after structural relaxation, with properties calculated at the PBE-GGA level.

## Properties
Uncorrected energy (eV per atom): -5.62
Energy of formation (eV per formula unit): -4.3
D(E_F) (states/eV/cell): 4.9

Structure (extended XYZ):
```
6
Lattice="4.320 0.000 0.000 -2.160 3.741 0.000 0.000 0.000 7.482" Properties=species:S:1:pos:R:3 pbc="T T T"
Ac 0.000 0.000 0.000
Tm 0.000 0.000 3.741
Ni 0.000 2.494 5.134
Ni 2.160 1.247 2.348
Ge 0.000 2.494 2.186
Ge 2.160 1.247 5.296
```

[4]
Below is Ac2TmNi3Ge4 after structural relaxation, with properties calculated at the PBE-GGA level.

## Properties
Uncorrected energy (eV per atom): -5.48
Energy of formation (eV per formula unit): -6.3
D(E_F) (states/eV/cell): 6.0

Structure (extended XYZ):
```
10
Lattice="4.320 0.000 0.000 0.000 4.320 0.000 0.000 0.000 11.011" Properties=species:S:1:pos:R:3 pbc="T T T"
Ac 0.000 2.160 2.504
Ac 2.160 0.000 8.506
Tm 0.000 0.000 5.505
Ni 0.000 2.160 9.798
Ni 2.160 0.000 1.213
Ni 2.160 2.160 5.505
Ge 0.000 0.000 0.000
Ge 0.000 2.160 7.303
Ge 2.160 0.000 3.708
Ge 2.160 2.160 0.000
```

[5]
Below is AcZn2Ni4Ge after structural relaxation, with properties calculated at the PBE-GGA level.

## Properties
Uncorrected energy (eV per atom): -4.56
Energy of formation (eV per formula unit): -2.1
D(E_F) (states/eV/cell): 4.3

Structure (extended XYZ):
```
8
Lattice="2.052 1.184 8.736 -2.052 1.184 8.736 0.000 -2.369 8.736" Properties=species:S:1:pos:R:3 pbc="T T T"
Ac 0.000 0.000 0.000
Zn 0.000 0.000 6.214
Zn 0.000 0.000 19.994
Ni 0.000 0.000 3.540
Ni 0.000 0.000 10.763
Ni 0.000 0.000 15.445
Ni 0.000 0.000 22.668
Ge 0.000 0.000 13.104
```

[6]
Below is AcZn2Ni2Ge after structural relaxation, with properties calculated at the PBE-GGA level.

## Properties
Uncorrected energy (eV per atom): -4.01
Energy of formation (eV per formula unit): -1.2
D(E_F) (states/eV/cell): 3.7

Structure (extended XYZ):
```
6
Lattice="4.437 0.000 0.000 0.000 4.437 0.000 0.000 0.000 6.039" Properties=species:S:1:pos:R:3 pbc="T T T"
Ac 0.000 0.000 0.000
Zn 2.218 2.218 1.605
Zn 2.218 2.218 4.433
Ni 0.000 2.218 3.019
Ni 2.218 0.000 3.019
Ge 0.000 0.000 3.019
```

[7]
Below is Ac3ZnNi6Ge2 after structural relaxation, with properties calculated at the PBE-GGA level.

## Properties
Uncorrected energy (eV per atom): -5.07
Energy of formation (eV per formula unit): -3.3
D(E_F) (states/eV/cell): 8.3

Structure (extended XYZ):
```
12
Lattice="5.726 0.000 0.000 -2.863 4.958 0.000 0.000 0.000 8.434" Properties=species:S:1:pos:R:3 pbc="T T T"
Ac 0.000 0.000 0.000
Ac 0.000 3.306 5.711
Ac 2.863 1.653 2.724
Zn 0.000 0.000 4.217
Ni 0.000 1.818 2.644
Ni -1.288 4.049 2.644
Ni 1.575 0.909 5.791
Ni 1.288 4.049 2.644
Ni 4.151 0.909 5.791
Ni 2.863 3.140 5.791
Ge 0.000 3.306 0.749
Ge 2.863 1.653 7.685
```

[8]
Below is AcNpGe4 after structural relaxation, with properties calculated at the PBE-GGA level.

## Properties
Uncorrected energy (eV per atom): -6.06
Energy of formation (eV per formula unit): -0.9
D(E_F) (states/eV/cell): 15.4

Structure (extended XYZ):
```
6
Lattice="0.000 4.064 4.064 4.064 0.000 4.064 4.064 4.064 0.000" Properties=species:S:1:pos:R:3 pbc="T T T"
Ac 0.000 0.000 0.000
Np 2.032 2.032 2.032
Ge 5.056 3.071 3.071
Ge 3.071 5.056 3.071
Ge 3.071 3.071 5.056
Ge 5.056 5.056 5.056
```

[9]
Below is AcNp2GeO8 after structural relaxation, with properties calculated at the PBE-GGA level.

## Properties
Uncorrected formation energy (meV/atom): -2625
Uncorrected energy (eV per atom): -8.81
D(E_F) (states/eV/cell): 9.3

Structure (extended XYZ):
```
12
Lattice="3.474 -3.643 0.000 3.474 3.643 0.000 0.000 0.000 6.986" Properties=species:S:1:pos:R:3 pbc="T T T"
Ac 0.000 0.000 0.000
Np 3.474 0.000 1.864
Np 3.474 0.000 5.122
Ge 0.000 0.000 3.493
O 1.334 0.000 2.103
O 1.334 0.000 4.883
O 3.474 1.534 3.493
O 3.474 1.229 0.000
O 3.474 -1.229 0.000
O 3.474 -1.534 3.493
O 5.614 0.000 2.103
O 5.614 0.000 4.883
```

[10]
Below is AcNpGe2O8 after structural relaxation, with properties calculated at the PBE-GGA level.

## Properties
Uncorrected formation energy (meV/atom): -2329
Uncorrected energy (eV per atom): -7.82
D(E_F) (states/eV/cell): 8.8

Structure (extended XYZ):
```
12
Lattice="-3.667 3.667 3.273 3.667 -3.667 3.273 3.667 3.667 -3.273" Properties=species:S:1:pos:R:3 pbc="T T T"
Ac 0.000 0.000 0.000
Np 0.000 3.667 1.636
Ge 3.667 0.000 1.636
Ge 0.000 0.000 3.273
O 2.418 0.000 0.381
O 4.916 0.000 0.381
O 3.667 2.233 -1.083
O 3.667 -1.249 2.891
O 0.000 1.435 2.190
O 3.667 1.249 2.891
O 2.233 3.667 1.083
O 1.435 0.000 4.355
```

[11]
Below is Ac2NpGe3Pt12 after structural relaxation, with properties calculated at the PBE-GGA level.

## Properties
Uncorrected energy (eV per atom): -6.32
Energy of formation (eV per formula unit): -6.3
D(E_F) (states/eV/cell): 16.2

Structure (extended XYZ):
```
18
Lattice="4.170 2.407 6.598 -4.170 2.407 6.598 0.000 -4.815 6.598" Properties=species:S:1:pos:R:3 pbc="T T T"
Ac 0.000 0.000 2.095
Ac 0.000 0.000 17.699
Np 0.000 0.000 9.897
Ge -2.085 -1.204 6.598
Ge -2.085 1.204 13.196
Ge 0.000 2.407 6.598
Pt -2.185 -1.261 9.086
Pt 0.000 -2.184 5.861
Pt -1.892 1.092 5.861
Pt 0.000 -2.523 10.708
Pt -2.185 1.261 10.708
Pt -1.892 -1.092 13.933
Pt 1.892 1.092 5.861
Pt 2.185 -1.261 9.086
Pt 0.000 2.523 9.086
Pt 1.892 -1.092 13.933
Pt 0.000 2.184 13.933
Pt 2.185 1.261 10.708
```

[12]
Below is AcNpGeSb after structural relaxation, with properties calculated at the PBE-GGA level.

## Properties
Uncorrected formation energy (meV/atom): -237
Uncorrected energy (eV per atom): -6.68
D(E_F) (states/eV/cell): 12.2

Structure (extended XYZ):
```
4
Lattice="0.000 3.843 3.843 3.843 0.000 3.843 3.843 3.843 0.000" Properties=species:S:1:pos:R:3 pbc="T T T"
Ac 0.000 0.000 0.000
Np 3.843 3.843 3.843
Ge 1.921 1.921 1.921
Sb 5.764 5.764 5.764
```

[13]
Below is Ac2Ge2O after structural relaxation, with properties calculated at the PBE-GGA level.

## Properties
Uncorrected formation energy (meV/atom): -1311
Uncorrected energy (eV per atom): -5.79
D(E_F) (states/eV/cell): 1.5

Structure (extended XYZ):
```
5
Lattice="2.153 -7.905 0.000 2.153 7.905 0.000 0.000 0.000 3.857" Properties=species:S:1:pos:R:3 pbc="T T T"
Ac 2.153 6.097 0.000
Ac 2.153 -6.097 0.000
Ge 2.153 3.262 1.929
Ge 2.153 -3.262 1.929
O 0.000 0.000 1.929
```

[14]
Below is Ac7Ge4O after structural relaxation, with properties calculated at the PBE-GGA level.

## Properties
Uncorrected formation energy (meV/atom): -872
Uncorrected energy (eV per atom): -5.22
D(E_F) (states/eV/cell): 6.1

Structure (extended XYZ):
```
12
Lattice="8.349 -2.669 0.000 8.349 2.669 0.000 -7.019 0.000 9.003" Properties=species:S:1:pos:R:3 pbc="T T T"
Ac 0.000 0.000 0.000
Ac -1.511 0.000 4.877
Ac 3.866 0.000 1.316
Ac 1.929 0.000 6.644
Ac 7.749 0.000 2.360
Ac 5.813 0.000 7.687
Ac 11.190 0.000 4.126
Ge -4.240 0.000 7.128
Ge 1.311 0.000 3.081
Ge 8.368 0.000 5.922
Ge 13.919 0.000 1.875
O 8.349 0.000 0.000
```

[15]
Below is AcGe3O8 after structural relaxation, with properties calculated at the PBE-GGA level.

## Properties
Uncorrected formation energy (meV/atom): -1837
Uncorrected energy (eV per atom): -6.64
D(E_F) (states/eV/cell): 6.0

Structure (extended XYZ):
```
12
Lattice="5.141 0.000 0.000 -2.571 4.452 0.000 0.000 0.000 7.014" Properties=species:S:1:pos:R:3 pbc="T T T"
Ac 0.000 0.000 0.000
Ge 0.000 0.000 3.507
Ge 0.000 2.968 5.009
Ge 2.571 1.484 2.005
O -1.710 3.248 4.696
O 0.613 1.347 4.696
O 1.474 0.143 2.318
O 0.000 2.968 6.820
O 2.571 1.484 0.194
O 1.097 4.310 4.696
O 1.957 3.105 2.318
O 4.281 1.205 2.318
```

[16]
Below is AcGe2O5 after structural relaxation, with properties calculated at the PBE-GGA level.

## Properties
Uncorrected formation energy (meV/atom): -2053
Uncorrected energy (eV per atom): -6.82
D(E_F) (states/eV/cell): 0.2

Structure (extended XYZ):
```
16
Lattice="3.835 0.000 0.000 0.000 11.647 0.000 0.000 0.000 5.323" Properties=species:S:1:pos:R:3 pbc="T T T"
Ac 0.959 2.912 0.424
Ac 2.876 8.736 4.899
Ge 0.959 6.954 2.275
Ge 0.959 10.517 2.275
Ge 2.876 1.130 3.048
Ge 2.876 4.693 3.048
O 0.959 0.900 2.438
O 0.959 4.924 2.438
O 0.959 7.315 0.551
O 0.959 8.736 3.085
O 0.959 10.156 0.551
O 2.876 1.491 4.772
O 2.876 2.912 2.238
O 2.876 4.333 4.772
O 2.876 6.724 2.885
O 2.876 10.748 2.885
```

[17]
Below is Ac5Ge2O after structural relaxation, with properties calculated at the PBE-GGA level.

## Properties
Uncorrected formation energy (meV/atom): -823
Uncorrected energy (eV per atom): -5.17
D(E_F) (states/eV/cell): 14.5

Structure (extended XYZ):
```
16
Lattice="3.111 -6.380 0.000 3.111 6.380 0.000 0.000 0.000 14.149" Properties=species:S:1:pos:R:3 pbc="T T T"
Ac 3.111 5.639 8.822
Ac 3.111 5.639 12.402
Ac 3.111 2.441 3.537
Ac 3.111 1.954 8.500
Ac 3.111 1.954 12.724
Ac 3.111 -1.954 1.425
Ac 3.111 -1.954 5.649
Ac 3.111 -2.441 10.612
Ac 3.111 -5.639 1.747
Ac 3.111 -5.639 5.327
Ge 3.111 4.067 0.990
Ge 3.111 4.067 6.085
Ge 3.111 -4.067 8.064
Ge 3.111 -4.067 13.159
O 3.111 3.654 10.612
O 3.111 -3.654 3.537
```

[18]
Below is Ac5Ge2O12 after structural relaxation, with properties calculated at the PBE-GGA level.

## Properties
Uncorrected formation energy (meV/atom): -2746
Uncorrected energy (eV per atom): -7.44
D(E_F) (states/eV/cell): 13.5

Structure (extended XYZ):
```
19
Lattice="6.604 -3.090 0.000 6.604 3.090 0.000 -2.399 0.000 7.712" Properties=species:S:1:pos:R:3 pbc="T T T"
Ac 0.000 0.000 0.000
Ac 2.441 0.000 5.100
Ac 3.801 0.000 1.127
Ac 7.008 0.000 6.585
Ac 8.369 0.000 2.611
Ge 5.405 1.603 3.856
Ge 5.405 -1.603 3.856
O -1.563 0.000 5.125
O 2.339 1.551 7.075
O 3.610 1.508 3.302
O 7.199 1.508 4.409
O 8.470 1.551 0.637
O 4.991 0.000 5.092
O 5.818 0.000 2.620
O 2.339 -1.551 7.075
O 3.610 -1.508 3.302
O 7.199 -1.508 4.409
O 8.470 -1.551 0.637
O 12.372 0.000 2.587
```

[19]
Below is AcGeO3 after structural relaxation, with properties calculated at the PBE-GGA level.

## Properties
Uncorrected formation energy (meV/atom): -2237
Uncorrected energy (eV per atom): -6.96
D(E_F) (states/eV/cell): 1.6

Structure (extended XYZ):
```
5
Lattice="4.089 0.000 0.000 0.000 4.089 0.000 0.000 0.000 4.089" Properties=species:S:1:pos:R:3 pbc="T T T"
Ac 0.000 0.000 0.000
Ge 2.045 2.045 2.045
O 0.000 2.045 2.045
O 2.045 0.000 2.045
O 2.045 2.045 0.000
```

[20]
Below is Ac2GeO5 after structural relaxation, with properties calculated at the PBE-GGA level.

## Properties
Energy above the lowest structure with this stoichiometry (eV/atom): 0.000
Uncorrected formation energy (meV/atom): -2647
Uncorrected energy (eV per atom): -7.35
D(E_F) (states/eV/cell): 0.0

Structure (extended XYZ):
```
16
Lattice="-3.286 3.286 7.328 3.286 -3.286 7.328 3.286 3.286 -7.328" Properties=species:S:1:pos:R:3 pbc="T T T"
Ac 0.000 0.000 0.000
Ac 1.643 1.643 -3.664
Ac 1.643 -1.643 3.664
Ac 0.000 3.286 0.000
Ge 3.286 1.643 1.832
Ge 0.000 1.643 5.496
O 3.286 -1.643 5.496
O 3.286 0.102 2.780
O 1.745 1.643 0.884
O 4.826 1.643 0.884
O 0.000 0.102 4.548
O 3.286 3.184 2.780
O -1.541 1.643 6.444
O 1.541 1.643 6.444
O 0.000 3.184 4.548
O 0.000 4.928 1.832
```